Entry from Alexandria: a crystal of LiLa relaxed with PBEsol (meta-GGA SCAN).

Properties
polymorph energy (0 for the lowest one)	0.118	eV/f.u.
total magnetization	0.04	μB/f.u.
E	-22.646	eV/atom
mass density	4.19	Mg/m³
formation energy from the elements	102	meV/atom

CIF file:
```
data_LiLa
_symmetry_space_group_name_H-M 'C m m e'
_symmetry_Int_Tables_number 67
_symmetry_space_group_name_Hall '-C 2a 2'
_cell_length_a 3.660
_cell_length_b 5.693
_cell_length_c 11.091
_cell_angle_alpha 90.00
_cell_angle_beta 90.00
_cell_angle_gamma 90.00
loop_
_atom_site_label
_atom_site_type_symbol
_atom_site_fract_x
_atom_site_fract_y
_atom_site_fract_z
Li1 Li 0.000 0.250 0.106
La1 La 0.000 0.250 0.636
```